Compound: Al2Pd
Source: OQMD via LeMat-Bulk
Functional: PBE-GGA
Structure: relaxed

Output
* SG: P4_2/mnm (136)

Cell lengths 6.1490, 6.1490, 3.1353 Å; angles 90.00, 90.00, 90.00 degrees
Last column: nearest neighbours and their distance in Å.
Atoms (fractional coordinates):
Al1 0.2797 0.2797 0.0000  3 Pd 2.43-2.48
Al2 0.7203 0.7203 0.0000  3 Pd 2.43-2.48
Al3 0.2203 0.7797 0.5000  3 Pd 2.43-2.48
Al4 0.7797 0.2203 0.5000  3 Pd 2.43-2.48
Pd1 0.0000 0.0000 0.0000  6 Al 2.43-2.48
Pd2 0.5000 0.5000 0.5000  6 Al 2.43-2.48

Compound: AlPd
Source: OQMD via LeMat-Bulk
Functional: PBE-GGA
Structure: relaxed

Output
* SG: R-3 (148)

Cell lengths 5.2937, 9.2536, 9.2536 Å; angles 116.45, 100.99, 100.99 degrees
Last column: nearest neighbours and their distance in Å.
Atoms (fractional coordinates):
Al1 0.0562 0.9572 0.7087  7 Pd 2.59-2.66
Al2 0.6525 0.7087 0.7515  7 Pd 2.59-2.66
Al3 0.3475 0.2913 0.2485  7 Pd 2.59-2.66
Al4 0.7526 0.1551 0.5989  7 Pd 2.60-2.65
Al5 0.8463 0.5989 0.4438  7 Pd 2.60-2.65
Al6 0.5974 0.4438 0.8449  7 Pd 2.60-2.65
Al7 0.5000 0.0000 0.0000  8 Pd 2.60-2.65
Al8 0.4026 0.5562 0.1551  7 Pd 2.60-2.65
Al9 0.0990 0.7515 0.0428  7 Pd 2.59-2.66
Al10 0.9009 0.2485 0.9572  7 Pd 2.59-2.66
Al11 0.1537 0.4011 0.5562  7 Pd 2.60-2.65
Al12 0.2474 0.8449 0.4011  7 Pd 2.60-2.65
Al13 0.9438 0.0428 0.2913  7 Pd 2.59-2.66
Pd1 0.5979 0.7535 0.0420  7 Al 2.60-2.66
Pd2 0.8443 0.2885 0.2465  7 Al 2.60-2.66
Pd3 0.9016 0.5571 0.1533  7 Al 2.59-2.65
Pd4 0.1557 0.7115 0.7535  7 Al 2.60-2.66
Pd5 0.0000 0.0000 0.0000  8 Al 2.63-2.65
Pd6 0.6555 0.4038 0.5571  7 Al 2.59-2.65
Pd7 0.5558 0.9580 0.7115  7 Al 2.60-2.66
Pd8 0.4442 0.0420 0.2885  7 Al 2.60-2.66
Pd9 0.4021 0.2465 0.9580  7 Al 2.60-2.66
Pd10 0.2517 0.1533 0.5962  7 Al 2.59-2.65
Pd11 0.3445 0.5962 0.4429  7 Al 2.59-2.65
Pd12 0.7483 0.8467 0.4038  7 Al 2.59-2.65
Pd13 0.0984 0.4429 0.8467  7 Al 2.59-2.65

Compound: AlPd4
Source: OQMD via LeMat-Bulk
Functional: PBE-GGA
Structure: relaxed

Output
* SG: P2_13 (198)

Cell lengths 6.6952, 6.6952, 6.6952 Å; angles 90.00, 90.00, 90.00 degrees
Last column: nearest neighbours and their distance in Å.
Atoms (fractional coordinates):
Pd1 0.6992 0.0437 0.8716  3 Al 2.66-2.88, 9 Pd 2.76-2.83
Pd2 0.6284 0.3008 0.5437  3 Al 2.66-2.88, 9 Pd 2.76-2.83
Pd3 0.5437 0.6284 0.3008  3 Al 2.66-2.88, 9 Pd 2.76-2.83
Pd4 0.8008 0.9563 0.3716  3 Al 2.66-2.88, 9 Pd 2.76-2.83
Pd5 0.9370 0.5630 0.4370  3 Al 2.52, 6 Pd 2.76-2.80
Pd6 0.5630 0.4370 0.9370  3 Al 2.52, 6 Pd 2.76-2.80
Pd7 0.8716 0.6992 0.0437  3 Al 2.66-2.88, 9 Pd 2.76-2.83
Pd8 0.9563 0.3716 0.8008  3 Al 2.66-2.88, 9 Pd 2.76-2.83
Pd9 0.0630 0.0630 0.0630  3 Al 2.52, 6 Pd 2.76-2.80
Pd10 0.0437 0.8716 0.6992  3 Al 2.66-2.88, 9 Pd 2.76-2.83
Pd11 0.4563 0.1284 0.1992  3 Al 2.66-2.88, 9 Pd 2.76-2.83
Pd12 0.3716 0.8008 0.9563  3 Al 2.66-2.88, 9 Pd 2.76-2.83
Pd13 0.1992 0.4563 0.1284  3 Al 2.66-2.88, 9 Pd 2.76-2.83
Pd14 0.3008 0.5437 0.6284  3 Al 2.66-2.88, 9 Pd 2.76-2.83
Pd15 0.1284 0.1992 0.4563  3 Al 2.66-2.88, 9 Pd 2.76-2.83
Pd16 0.4370 0.9370 0.5630  3 Al 2.52, 6 Pd 2.76-2.80
Al1 0.3096 0.1904 0.8096  9 Pd 2.52-2.82
Al2 0.1904 0.8096 0.3096  9 Pd 2.52-2.82
Al3 0.6904 0.6904 0.6904  9 Pd 2.52-2.82
Al4 0.8096 0.3096 0.1904  9 Pd 2.52-2.82

Compound: AlPd
Source: OQMD via LeMat-Bulk
Functional: PBE-GGA
Structure: relaxed

Output
* SG: Pm-3m (221)

Cell lengths 3.0682, 3.0682, 3.0682 Å; angles 90.00, 90.00, 90.00 degrees
Last column: nearest neighbours and their distance in Å.
Atoms (fractional coordinates):
Al1 0.0000 0.0000 0.0000  8 Pd 2.66
Pd1 0.5000 0.5000 0.5000  8 Al 2.66

Compound: AlPd
Source: OQMD via LeMat-Bulk
Functional: PBE-GGA
Structure: relaxed

Output
* SG: F-43m (216)

Cell lengths 3.9435, 3.9435, 3.9435 Å; angles 60.00, 60.00, 60.00 degrees
Last column: nearest neighbours and their distance in Å.
Atoms (fractional coordinates):
Pd1 0.2500 0.2500 0.2500  4 Al 2.41
Al1 0.0000 0.0000 0.0000  4 Pd 2.41

Compound: Al2Pd3
Source: OQMD via LeMat-Bulk
Functional: PBE-GGA
Structure: relaxed

Output
* SG: R-3c (167)

Cell lengths 6.3799, 6.3799, 5.6894 Å; angles 124.10, 55.90, 120.00 degrees
Last column: nearest neighbours and their distance in Å.
Atoms (fractional coordinates):
Pd1 0.0160 0.5160 0.7500  4 Al 2.39-2.54
Pd2 0.2500 0.0160 0.2500  4 Al 2.39-2.54
Pd3 0.4840 0.2500 0.7500  4 Al 2.39-2.54
Pd4 0.7500 0.9840 0.7500  4 Al 2.39-2.54
Pd5 0.9840 0.4840 0.2500  4 Al 2.39-2.54
Pd6 0.5160 0.7500 0.2500  4 Al 2.39-2.54
Al1 0.1046 0.8954 0.6861  6 Pd 2.39-2.54
Al2 0.3954 0.6046 0.8139  6 Pd 2.39-2.54
Al3 0.6046 0.3954 0.1861  6 Pd 2.39-2.54
Al4 0.8954 0.1046 0.3139  6 Pd 2.39-2.54

Compound: Al2Pd
Source: OQMD via LeMat-Bulk
Functional: PBE-GGA
Structure: relaxed

Output
* SG: Pnnm (58)

Cell lengths 12.3479, 14.8868, 3.0619 Å; angles 90.00, 90.00, 90.00 degrees
Last column: nearest neighbours and their distance in Å.
Atoms (fractional coordinates):
Al1 0.9251 0.9247 0.5000  3 Pd 2.61, 7 Al 2.78-2.91
Al2 0.8956 0.7638 0.0000  4 Pd 2.58-2.62, 4 Al 2.86-2.87
Al3 0.8776 0.0753 0.0000  4 Pd 2.53-2.62, 2 Al 2.78
Al4 0.3956 0.7362 0.5000  4 Pd 2.58-2.62, 4 Al 2.86-2.87
Al5 0.3851 0.9818 0.5000  4 Pd 2.59-2.64, 5 Al 2.80-2.89
Al6 0.1149 0.4818 0.0000  4 Pd 2.59-2.64, 5 Al 2.80-2.89
Al7 0.2041 0.7034 0.0000  5 Pd 2.61-2.66, 4 Al 2.86-2.91
Al8 0.6149 0.0182 0.5000  4 Pd 2.59-2.64, 5 Al 2.80-2.89
Al9 0.1224 0.9247 0.0000  4 Pd 2.53-2.62, 2 Al 2.78
Al10 0.4251 0.5753 0.0000  3 Pd 2.61, 7 Al 2.78-2.91
Al11 0.1044 0.2362 0.0000  4 Pd 2.58-2.62, 4 Al 2.86-2.87
Al12 0.2959 0.2034 0.5000  5 Pd 2.61-2.66, 4 Al 2.86-2.91
Al13 0.6044 0.2638 0.5000  4 Pd 2.58-2.62, 4 Al 2.86-2.87
Al14 0.4711 0.1222 0.0000  2 Pd 2.57-2.73, 4 Al 2.80-2.81
Al15 0.6224 0.5753 0.5000  4 Pd 2.53-2.62, 2 Al 2.78
Al16 0.5749 0.4247 0.0000  3 Pd 2.61, 7 Al 2.78-2.91
Al17 0.0289 0.6222 0.5000  2 Pd 2.57-2.73, 4 Al 2.80-2.81
Al18 0.0749 0.0753 0.5000  3 Pd 2.61, 7 Al 2.78-2.91
Al19 0.5289 0.8778 0.0000  2 Pd 2.57-2.73, 4 Al 2.80-2.81
Al20 0.9711 0.3778 0.5000  2 Pd 2.57-2.73, 4 Al 2.80-2.81
Al21 0.8851 0.5182 0.0000  4 Pd 2.59-2.64, 5 Al 2.80-2.89
Al22 0.7041 0.7966 0.5000  5 Pd 2.61-2.66, 4 Al 2.86-2.91
Al23 0.7959 0.2966 0.0000  5 Pd 2.61-2.66, 4 Al 2.86-2.91
Al24 0.3776 0.4247 0.5000  4 Pd 2.53-2.62, 2 Al 2.78
Pd1 0.2542 0.5678 0.5000  8 Al 2.61-2.90
Pd2 0.4358 0.2924 0.0000  8 Al 2.57-2.66
Pd3 0.2458 0.0678 0.0000  8 Al 2.61-2.90
Pd4 0.1904 0.3564 0.5000  7 Al 2.53-2.73
Pd5 0.0642 0.7924 0.5000  8 Al 2.57-2.66
Pd6 0.8096 0.6436 0.5000  7 Al 2.53-2.73
Pd7 0.3096 0.8564 0.0000  7 Al 2.53-2.73
Pd8 0.7458 0.4322 0.5000  8 Al 2.61-2.90
Pd9 0.6904 0.1436 0.0000  7 Al 2.53-2.73
Pd10 0.7542 0.9322 0.0000  8 Al 2.61-2.90
Pd11 0.5642 0.7076 0.0000  8 Al 2.57-2.66
Pd12 0.9358 0.2076 0.5000  8 Al 2.57-2.66

Compound: Al21Pd8
Source: OQMD via LeMat-Bulk
Functional: PBE-GGA
Structure: relaxed

Output
* SG: I4_1/a (88)

Cell lengths 10.6722, 10.6722, 10.6722 Å; angles 104.68, 104.68, 119.56 degrees
Last column: nearest neighbours and their distance in Å.
Atoms (fractional coordinates):
Al1 0.0148 0.9429 0.5070  4 Pd 2.59-2.74, 5 Al 2.76-2.87
Al2 0.0960 0.4298 0.4792  3 Pd 2.55-2.76, 2 Al 2.68-2.86
Al3 0.2392 0.9477 0.7269  4 Pd 2.58-2.69, 3 Al 2.76-2.87
Al4 0.5702 0.0494 0.6662  3 Pd 2.55-2.76, 2 Al 2.68-2.86
Al5 0.8104 0.8456 0.8571  3 Pd 2.60-2.73, 7 Al 2.68-2.89
Al6 0.2623 0.4892 0.7915  4 Pd 2.58-2.69, 3 Al 2.76-2.87
Al7 0.0352 0.6967 0.8348  4 Pd 2.59-2.68, 4 Al 2.71-2.80
Al8 0.0571 0.5641 0.0720  4 Pd 2.59-2.74, 5 Al 2.76-2.87
Al9 0.5108 0.3023 0.7731  4 Pd 2.58-2.69, 3 Al 2.76-2.87
Al10 0.9884 0.9533 0.1429  3 Pd 2.60-2.73, 7 Al 2.68-2.89
Al11 0.5000 0.5000 0.0000  4 Pd 2.67, 8 Al 2.85-2.88
Al12 0.0467 0.1896 0.0351  3 Pd 2.60-2.73, 7 Al 2.68-2.89
Al13 0.9506 0.6168 0.5208  3 Pd 2.55-2.76, 2 Al 2.68-2.86
Al14 0.8881 0.0496 0.3348  4 Pd 2.59-2.68, 4 Al 2.71-2.80
Al15 0.7616 0.2967 0.3571  3 Pd 2.60-2.73, 7 Al 2.68-2.89
Al16 0.6929 0.6859 0.4280  4 Pd 2.59-2.74, 5 Al 2.76-2.87
Al17 0.2500 0.7500 0.5000  4 Pd 2.67, 8 Al 2.85-2.88
Al18 0.4359 0.5078 0.4930  4 Pd 2.59-2.74, 5 Al 2.76-2.87
Al19 0.4922 0.9852 0.9280  4 Pd 2.59-2.74, 5 Al 2.76-2.87
Al20 0.2208 0.5123 0.2731  4 Pd 2.58-2.69, 3 Al 2.76-2.87
Al21 0.3033 0.1381 0.3385  4 Pd 2.59-2.68, 4 Al 2.71-2.80
Al22 0.3668 0.3460 0.1662  3 Pd 2.55-2.76, 2 Al 2.68-2.86
Al23 0.7033 0.0604 0.4649  3 Pd 2.60-2.73, 7 Al 2.68-2.89
Al24 0.5956 0.2384 0.5351  3 Pd 2.60-2.73, 7 Al 2.68-2.89
Al25 0.4877 0.7608 0.7085  4 Pd 2.58-2.69, 3 Al 2.76-2.87
Al26 0.9396 0.4044 0.6429  3 Pd 2.60-2.73, 7 Al 2.68-2.89
Al27 0.1798 0.2006 0.8338  3 Pd 2.55-2.76, 2 Al 2.68-2.86
Al28 0.2578 0.2648 0.5720  4 Pd 2.59-2.74, 5 Al 2.76-2.87
Al29 0.5292 0.7377 0.2269  4 Pd 2.58-2.69, 3 Al 2.76-2.87
Al30 0.7148 0.5533 0.6652  4 Pd 2.59-2.68, 4 Al 2.71-2.80
Al31 0.7996 0.9648 0.6615  4 Pd 2.59-2.68, 4 Al 2.71-2.80
Al32 0.0523 0.7792 0.2915  4 Pd 2.58-2.69, 3 Al 2.76-2.87
Al33 0.1544 0.0116 0.9649  3 Pd 2.60-2.73, 7 Al 2.68-2.89
Al34 0.6540 0.8202 0.0208  3 Pd 2.55-2.76, 2 Al 2.68-2.86
Al35 0.7352 0.3071 0.9930  4 Pd 2.59-2.74, 5 Al 2.76-2.87
Al36 0.7994 0.6332 0.9792  3 Pd 2.55-2.76, 2 Al 2.68-2.86
Al37 0.3141 0.7422 0.0070  4 Pd 2.59-2.74, 5 Al 2.76-2.87
Al38 0.8619 0.2004 0.1652  4 Pd 2.59-2.68, 4 Al 2.71-2.80
Al39 0.4467 0.1119 0.1615  4 Pd 2.59-2.68, 4 Al 2.71-2.80
Al40 0.3832 0.9040 0.3338  3 Pd 2.55-2.76, 2 Al 2.68-2.86
Al41 0.6977 0.4708 0.2085  4 Pd 2.58-2.69, 3 Al 2.76-2.87
Al42 0.9504 0.2852 0.8385  4 Pd 2.59-2.68, 4 Al 2.71-2.80
Pd1 0.9645 0.5013 0.2764  10 Al 2.58-2.76
Pd2 0.8063 0.4201 0.8132  9 Al 2.55-2.68
Pd3 0.3119 0.0355 0.5368  10 Al 2.58-2.76
Pd4 0.6069 0.9931 0.1868  9 Al 2.55-2.68
Pd5 0.7855 0.7487 0.2236  10 Al 2.58-2.76
Pd6 0.4987 0.7751 0.4632  10 Al 2.58-2.76
Pd7 0.4381 0.2145 0.9632  10 Al 2.58-2.76
Pd8 0.1431 0.2569 0.3132  9 Al 2.55-2.68
Pd9 0.9437 0.8299 0.6868  9 Al 2.55-2.68
Pd10 0.2513 0.4749 0.0368  10 Al 2.58-2.76
Pd11 0.0069 0.1937 0.6138  9 Al 2.55-2.68
Pd12 0.7431 0.0563 0.8862  9 Al 2.55-2.68
Pd13 0.2249 0.6881 0.7236  10 Al 2.58-2.76
Pd14 0.5251 0.5619 0.7764  10 Al 2.58-2.76
Pd15 0.1701 0.8569 0.1138  9 Al 2.55-2.68
Pd16 0.5799 0.3931 0.3862  9 Al 2.55-2.68

Compound: AlPd
Source: OQMD via LeMat-Bulk
Functional: PBE-GGA
Structure: relaxed

Output
* SG: P-6m2 (187)

Cell lengths 2.9357, 2.9356, 3.9876 Å; angles 90.00, 90.00, 120.00 degrees
Last column: nearest neighbours and their distance in Å.
Atoms (fractional coordinates):
Al1 0.6667 0.3333 0.7500  6 Pd 2.62
Pd1 0.3333 0.6667 0.2500  6 Al 2.62

Compound: AlPd
Source: OQMD via LeMat-Bulk
Functional: PBE-GGA
Structure: relaxed

Output
* SG: P6_3mc (186)

Cell lengths 4.2911, 4.2911, 4.9831 Å; angles 90.00, 90.00, 120.00 degrees
Last column: nearest neighbours and their distance in Å.
Atoms (fractional coordinates):
Al1 0.3333 0.6667 0.4386  5 Pd 2.48-2.50
Al2 0.0000 0.0000 0.9386  5 Pd 2.48-2.50
Pd1 0.0000 0.0000 0.4364  5 Al 2.48-2.50
Pd2 0.3333 0.6667 0.9364  5 Al 2.48-2.50

| no. | E (eV for the cell shown) |
| --- | --- |
| 1 | -27.042 |
| 2 | -139.503 |
| 3 | -108.246 |
| 4 | -10.674 |
| 5 | -9.116 |
| 6 | -51.746 |
| 7 | -171.503 |
| 8 | -272.248 |
| 9 | -10.431 |
| 10 | -19.238 |